9
Lattice="4.988 0.000 0.000 0.000 4.988 0.000 0.000 0.000 8.948" Properties=species:S:1:pos:R:3 comment="PBE BaCdGa2Au5, relaxed" dft_energy_ev_per_atom=-3.12 dos_at_fermi_per_ev_atom=0.377 pbc="T T T"
Au 2.494 0.000 7.435
Au 2.494 0.000 1.513
Au 0.000 2.494 7.435
Au 2.494 2.494 4.474
Au 0.000 2.494 1.513
Cd 0.000 0.000 0.000
Ba 0.000 0.000 4.474
Ga 2.494 2.494 6.994
Ga 2.494 2.494 1.954

8
Lattice="-0.045 -4.058 1.931 3.860 -2.182 0.734 2.011 2.409 10.338" Properties=species:S:1:pos:R:3 comment="PBE BaCdGa2Au4, relaxed" dft_energy_ev_per_atom=-3.10 dos_at_fermi_per_ev_atom=0.425 pbc="T T T"
Au 4.088 -4.582 6.154
Au 3.124 -0.633 9.200
Au 1.738 0.752 6.849
Au 2.702 -3.197 3.803
Ga 4.357 -2.951 9.588
Ga 1.469 -0.879 3.415
Ba 0.000 0.000 0.000
Cd 2.913 -1.915 6.502

5
Lattice="-2.255 3.140 -5.086 4.618 -2.535 -3.613 -2.885 -3.766 -1.046" Properties=species:S:1:pos:R:3 comment="PBE Ba2CdGaAu, relaxed" dft_energy_ev_per_atom=-2.54 dos_at_fermi_per_ev_atom=0.698 pbc="T T T"
Ba -1.128 1.570 -2.543
Ba 2.309 -1.267 -1.806
Ga -1.442 -1.883 -0.523
Cd -0.261 -1.580 -4.872
Au 0.000 0.000 0.000

- Which formula does entry 2 have?
  BaCdGa2Au4